Entry 1:
A plane-wave DFT calculation with GGA-PBE was carried out for ErTh3C3 after structural relaxation.

Computed properties:
**ΔH_f (0 K)**: -0.074 eV per atom
**Density of states at the Fermi level**: 9.438 states/eV/cell

a = 8.3529 Å, b = 8.3529 Å, c = 5.3723 Å
α = 90.00°, β = 90.00°, γ = 119.94°
Last column: nearest neighbours and their distance in Å.
Fractional coordinates of all 14 atoms:
Er  0.1668  0.8332  0.7500  3 C 2.44
Er  0.8332  0.1668  0.2500  3 C 2.44
Th  0.1571  0.3282  0.7500  4 C 2.43-2.69
Th  0.3282  0.1571  0.2500  4 C 2.43-2.69
Th  0.3289  0.6711  0.2500  4 C 2.43-2.69
Th  0.6711  0.3289  0.7500  4 C 2.43-2.69
Th  0.6718  0.8429  0.7500  4 C 2.43-2.69
Th  0.8429  0.6718  0.2500  4 C 2.43-2.69
C  0.1708  0.3349  0.2500  4 Th 2.43-2.69, 1 Er 2.44
C  0.3349  0.1708  0.7500  4 Th 2.43-2.69, 1 Er 2.44
C  0.3358  0.6642  0.7500  4 Th 2.43-2.69, 1 Er 2.44
C  0.6642  0.3358  0.2500  4 Th 2.43-2.69, 1 Er 2.44
C  0.6651  0.8292  0.2500  4 Th 2.43-2.69, 1 Er 2.44
C  0.8292  0.6651  0.7500  4 Th 2.43-2.69, 1 Er 2.44

***

Entry 2:
A plane-wave DFT calculation with GGA-PBE was carried out for NdSm8Er3 after structural relaxation.

Computed properties:
**ΔH_f (0 K)**: 0.343 eV per atom
**Density of states at the Fermi level**: 16.260 states/eV/cell

a = 8.7227 Å, b = 8.7227 Å, c = 8.7227 Å
α = 135.77°, β = 99.06°, γ = 97.23°
Last column: nearest neighbours and their distance in Å.
Fractional coordinates of all 12 atoms:
Nd  0.0000  0.0000  0.0000  8 Sm 3.35-3.45
Sm  0.0856  0.2511  0.8344  4 Er 3.43-3.79, 7 Sm 3.43-3.80, 1 Nd 3.45
Sm  0.2601  0.2428  0.5029  6 Sm 3.19-3.48, 1 Er 3.20, 1 Nd 3.35
Sm  0.2601  0.7572  0.0173  6 Sm 3.19-3.48, 1 Er 3.20, 1 Nd 3.35
Sm  0.4167  0.2511  0.1656  4 Er 3.43-3.79, 7 Sm 3.43-3.80, 1 Nd 3.45
Sm  0.5833  0.7489  0.8344  4 Er 3.43-3.79, 7 Sm 3.43-3.80, 1 Nd 3.45
Sm  0.7399  0.2428  0.9827  6 Sm 3.19-3.48, 1 Er 3.20, 1 Nd 3.35
Sm  0.7399  0.7572  0.4971  6 Sm 3.19-3.48, 1 Er 3.20, 1 Nd 3.35
Sm  0.9144  0.7489  0.1656  4 Er 3.43-3.79, 7 Sm 3.43-3.80, 1 Nd 3.45
Er  0.2609  0.7609  0.5000  10 Sm 3.78-4.19
Er  0.5000  0.5000  0.0000  8 Sm 3.20-3.43
Er  0.7391  0.2391  0.5000  10 Sm 3.78-4.19

***

Entry 3:
A plane-wave DFT calculation with GGA-PBE was carried out for CaHf2Mg2 after structural relaxation.

Computed properties:
**ΔH_f (0 K)**: 0.279 eV per atom
**Density of states at the Fermi level**: 7.732 states/eV/cell

a = 8.8162 Å, b = 8.8162 Å, c = 3.2167 Å
α = 90.00°, β = 90.00°, γ = 90.00°
Last column: nearest neighbours and their distance in Å.
Fractional coordinates of all 10 atoms:
Ca  0.0000  0.0000  0.0000  2 Ca 3.22, 4 Hf 3.53
Ca  0.5000  0.5000  0.0000  2 Ca 3.22, 4 Hf 3.53
Hf  0.1169  0.3831  0.0000  3 Hf 2.92-3.22, 6 Mg 3.04-3.09
Hf  0.3831  0.8831  0.0000  3 Hf 2.92-3.22, 6 Mg 3.04-3.09
Hf  0.6169  0.1169  0.0000  3 Hf 2.92-3.22, 6 Mg 3.04-3.09
Hf  0.8831  0.6169  0.0000  3 Hf 2.92-3.22, 6 Mg 3.04-3.09
Mg  0.1763  0.6763  0.5000  6 Hf 3.04-3.09, 2 Mg 3.22
Mg  0.3237  0.1763  0.5000  6 Hf 3.04-3.09, 2 Mg 3.22
Mg  0.6763  0.8237  0.5000  6 Hf 3.04-3.09, 2 Mg 3.22
Mg  0.8237  0.3237  0.5000  6 Hf 3.04-3.09, 2 Mg 3.22

***

Entry 4:
A plane-wave DFT calculation with GGA-PBE was carried out for Na6ScBr8 after structural relaxation.

Computed properties:
**Raw formation energy**: -1525 meV per atom
**Density of states at the Fermi level**: 7.871 states/eV/cell

a = 8.5116 Å, b = 8.5116 Å, c = 8.5116 Å
α = 60.00°, β = 60.00°, γ = 60.00°
Last column: nearest neighbours and their distance in Å.
Fractional coordinates of all 15 atoms:
Na  0.0000  0.0000  0.5000  6 Br 3.01-3.02
Na  0.0000  0.5000  0.0000  6 Br 3.01-3.02
Na  0.0000  0.5000  0.5000  6 Br 3.01-3.02
Na  0.5000  0.0000  0.0000  6 Br 3.01-3.02
Na  0.5000  0.0000  0.5000  6 Br 3.01-3.02
Na  0.5000  0.5000  0.0000  6 Br 3.01-3.02
Sc  0.0000  0.0000  0.0000  6 Br 2.80
Br  0.2324  0.2324  0.7676  1 Sc 2.80, 4 Na 3.02
Br  0.2324  0.7676  0.2324  1 Sc 2.80, 4 Na 3.02
Br  0.2324  0.7676  0.7676  1 Sc 2.80, 4 Na 3.02
Br  0.2500  0.2500  0.2500  6 Na 3.01
Br  0.7500  0.7500  0.7500  6 Na 3.01
Br  0.7676  0.2324  0.2324  1 Sc 2.80, 4 Na 3.02
Br  0.7676  0.2324  0.7676  1 Sc 2.80, 4 Na 3.02
Br  0.7676  0.7676  0.2324  1 Sc 2.80, 4 Na 3.02

***

Entry 5:
A plane-wave DFT calculation with GGA-PBE was carried out for TePd2I3 after structural relaxation.

Computed properties:
**Raw formation energy**: -127 meV per atom
**Density of states at the Fermi level**: 8.929 states/eV/cell

a = 10.0266 Å, b = 10.0266 Å, c = 14.0313 Å
α = 132.83°, β = 132.83°, γ = 23.16°
Last column: nearest neighbours and their distance in Å.
Fractional coordinates of all 12 atoms:
Te  0.0902  0.0902  0.1621  4 Pd 2.62-2.73
Te  0.9098  0.9098  0.8379  4 Pd 2.62-2.73
Pd  0.0906  0.0906  0.9735  2 Te 2.62-2.65, 2 I 2.76
Pd  0.2946  0.2946  0.6640  4 I 2.68-2.90, 2 Te 2.73
Pd  0.7054  0.7054  0.3360  4 I 2.68-2.90, 2 Te 2.73
Pd  0.9094  0.9094  0.0265  2 Te 2.62-2.65, 2 I 2.76
I  0.2278  0.2278  0.7776  1 Pd 2.68
I  0.3440  0.3440  0.5224  3 Pd 2.75-2.90
I  0.4026  0.4026  0.1544  2 Pd 2.76
I  0.5974  0.5974  0.8456  2 Pd 2.76
I  0.6560  0.6560  0.4776  3 Pd 2.75-2.90
I  0.7722  0.7722  0.2224  1 Pd 2.68

***

Entry 6:
A plane-wave DFT calculation with GGA-PBE was carried out for Tb5Nd4Er after structural relaxation.

Computed properties:
**ΔH_f (0 K)**: 0.235 eV per atom
**Density of states at the Fermi level**: 13.405 states/eV/cell

a = 8.1189 Å, b = 8.1189 Å, c = 8.1189 Å
α = 97.91°, β = 97.91°, γ = 136.44°
Last column: nearest neighbours and their distance in Å.
Fractional coordinates of all 10 atoms:
Tb  0.0000  0.0000  0.0000  2 Er 2.86-3.17
Tb  0.0777  0.0777  0.6231  1 Er 3.24, 3 Tb 3.26-3.54, 2 Nd 3.33
Tb  0.0777  0.4546  0.0000  1 Er 3.24, 3 Tb 3.26-3.54, 2 Nd 3.33
Tb  0.4546  0.0777  0.0000  1 Er 3.24, 3 Tb 3.26-3.54, 2 Nd 3.33
Tb  0.4546  0.4546  0.3769  1 Er 3.24, 3 Tb 3.26-3.54, 2 Nd 3.33
Nd  0.0746  0.7513  0.3233  2 Tb 3.33, 1 Er 3.70
Nd  0.4281  0.7513  0.6767  2 Tb 3.33, 1 Er 3.70
Nd  0.7513  0.0746  0.3233  2 Tb 3.33, 1 Er 3.70
Nd  0.7513  0.4281  0.6767  2 Tb 3.33, 1 Er 3.70
Er  0.5260  0.5260  0.0000  2 Tb 2.86-3.17

***

Entry 7:
A plane-wave DFT calculation with GGA-PBE was carried out for PaInHgPt after structural relaxation.

Computed properties:
**ΔH_f (0 K)**: -0.382 eV per atom
**Density of states at the Fermi level**: 2.832 states/eV/cell

a = 4.9852 Å, b = 4.9852 Å, c = 4.9852 Å
α = 60.00°, β = 60.00°, γ = 60.00°
Last column: nearest neighbours and their distance in Å.
Fractional coordinates of all 4 atoms:
Pa  0.0000  0.0000  0.0000  4 Hg 3.05, 4 Pt 3.05
In  0.5000  0.5000  0.5000  4 Hg 3.05, 4 Pt 3.05
Hg  0.7500  0.7500  0.7500  4 In 3.05, 4 Pa 3.05
Pt  0.2500  0.2500  0.2500  4 In 3.05, 4 Pa 3.05

***

Entry 8:
A plane-wave DFT calculation with GGA-PBE was carried out for PrScS2 after structural relaxation.

Computed properties:
**Raw formation energy**: -1906 meV per atom
**Density of states at the Fermi level**: 0.951 states/eV/cell

a = 7.0821 Å, b = 7.0821 Å, c = 7.0821 Å
α = 31.28°, β = 31.28°, γ = 31.28°
Last column: nearest neighbours and their distance in Å.
Fractional coordinates of all 4 atoms:
Pr  0.0000  0.0000  0.0000  6 S 2.86-2.97
Sc  0.8232  0.8232  0.8232  6 S 2.58-2.71
S  0.2347  0.2347  0.2347  3 Sc 2.71, 3 Pr 2.97
S  0.4239  0.4239  0.4239  3 Sc 2.58, 3 Pr 2.86

***

Look up the density of states at the Fermi level of the seventh one. 2.832 states/eV/cell